No. 1
A relaxed Zr2CuSb crystal. Source: Alexandria, functional PBE.

## Properties
raw formation energy = -1.239 eV per formula unit
D(E_F) = 2.88 states/eV/f.u.
magnetic moment = 0.0 μB/cell
mass density = 7.6 g/cm3
final energy = -6.638 eV per atom

Cell lengths 4.8920, 4.8920, 3.4649 Å; angles 90.15, 90.15, 104.38 degrees
Closest atoms and distances in Å follow each position.
Positions (direct):
Zr  0.0000  0.5000  0.0000  4 Sb 2.99-3.00, 4 Cu 2.99-3.00, 2 Zr 3.00
Zr  0.5000  0.0000  0.0000  4 Sb 2.99-3.00, 4 Cu 2.99-3.00, 2 Zr 3.00
Cu  0.0000  0.0000  0.5000  8 Zr 2.99-3.00, 2 Sb 3.00
Sb  0.5000  0.5000  0.5000  8 Zr 2.99-3.00, 2 Cu 3.00


No. 2
A relaxed BaSr2Ca crystal. Source: Alexandria, functional PBE.

## Properties
energy relative to the elements = 0.02 eV/atom
excess energy over the best structure of this formula in the dataset = 0.008 eV per atom
D(E_F) = 5.25 states/eV/f.u.
magnetic moment = 0.0 μB/cell
mass density = 2.7 g/cm3
final energy = -1.797 eV per atom

Cell lengths 7.3213, 7.3213, 7.3213 Å; angles 131.56, 131.56, 70.92 degrees
Closest atoms and distances in Å follow each position.
Positions (direct):
Ba  0.0000  0.0000  0.0000  8 Sr 4.23, 4 Ca 4.25
Sr  0.2500  0.7500  0.5000  4 Ba 4.23, 4 Ca 4.23, 4 Sr 4.25
Sr  0.7500  0.2500  0.5000  4 Ba 4.23, 4 Ca 4.23, 4 Sr 4.25
Ca  0.5000  0.5000  0.0000  8 Sr 4.23, 4 Ba 4.25


No. 3
A relaxed ZrTcSe2 crystal. Source: Alexandria, functional PBE.

## Properties
raw formation energy = -2.332 eV per formula unit
excess energy over the best structure of this formula in the dataset = 0.043 eV per atom
D(E_F) = 3.22 states/eV/f.u.
magnetic moment = 0.2 μB/cell
mass density = 5.8 g/cm3
final energy = -7.054 eV per atom

Cell lengths 7.0610, 7.0610, 7.0610 Å; angles 149.50, 145.83, 46.44 degrees
Closest atoms and distances in Å follow each position.
Positions (direct):
Zr  0.0000  0.0000  0.0000  4 Se 2.76, 4 Tc 2.78
Tc  0.5000  0.5000  0.0000  4 Se 2.60, 4 Zr 2.78
Se  0.3600  0.8600  0.5000  2 Tc 2.60, 2 Zr 2.76
Se  0.6400  0.1400  0.5000  2 Tc 2.60, 2 Zr 2.76


No. 4
A relaxed TbPm2Al4Pt3 crystal. Source: Alexandria, functional PBE.

## Properties
energy relative to the elements = -0.91 eV/atom
D(E_F) = 8.95 states/eV/f.u.
magnetic moment = 0.0 μB/cell
mass density = 9.0 g/cm3
final energy = -5.632 eV per atom

Cell lengths 4.2608, 4.2608, 11.5547 Å; angles 90.00, 90.00, 90.00 degrees
Closest atoms and distances in Å follow each position.
Positions (direct):
Tb  0.0000  0.0000  0.0000  4 Al 2.89, 4 Pt 3.01
Pm  0.0000  0.5000  0.7268  8 Al 3.24-3.38, 4 Pt 3.26
Pm  0.5000  0.0000  0.2732  8 Al 3.24-3.38, 4 Pt 3.26
Al  0.0000  0.0000  0.5000  4 Pt 2.54
Al  0.0000  0.5000  0.1689  1 Pt 2.44
Al  0.5000  0.0000  0.8311  1 Pt 2.44
Al  0.5000  0.5000  0.5000  4 Pt 2.54
Pt  0.0000  0.5000  0.3799  5 Al 2.44-2.54
Pt  0.5000  0.0000  0.6201  5 Al 2.44-2.54
Pt  0.5000  0.5000  0.0000  4 Al 2.89, 4 Tb 3.01


No. 5
A relaxed BaPt2N crystal. Source: Alexandria, functional PBE.

## Properties
raw formation energy = -1.282 eV per formula unit
D(E_F) = 1.39 states/eV/f.u.
magnetic moment = 0.0 μB/cell
mass density = 10.1 g/cm3
final energy = -5.903 eV per atom

Cell lengths 7.3565, 7.3565, 7.3565 Å; angles 137.65, 137.65, 61.43 degrees
Closest atoms and distances in Å follow each position.
Positions (direct):
Ba  0.3750  0.6250  0.7500  8 Pt 3.37, 4 N 3.76
Ba  0.6250  0.3750  0.2500  8 Pt 3.37, 4 N 3.76
Pt  0.0000  0.0000  0.0000  2 N 2.07
Pt  0.0000  0.0000  0.5000  2 N 2.07
Pt  0.0000  0.5000  0.0000  2 N 2.07
Pt  0.5000  0.0000  0.5000  2 N 2.07
N  0.1250  0.8750  0.2500  4 Pt 2.07
N  0.8750  0.1250  0.7500  4 Pt 2.07


No. 6
A relaxed ScCd2Ag2 crystal. Source: Alexandria, functional PBE.

## Properties
energy relative to the elements = -0.04 eV/atom
excess energy over the best structure of this formula in the dataset = 0.135 eV per atom
D(E_F) = 3.05 states/eV/f.u.
magnetic moment = 0.9 μB/cell
mass density = 7.8 g/cm3
final energy = -2.808 eV per atom

Cell lengths 8.2102, 8.2102, 3.0568 Å; angles 90.00, 90.00, 90.00 degrees
Closest atoms and distances in Å follow each position.
Positions (direct):
Sc  0.0000  0.0000  0.0000  2 Sc 3.06, 4 Cd 3.23, 8 Ag 3.40
Sc  0.5000  0.5000  0.0000  2 Sc 3.06, 4 Cd 3.23, 8 Ag 3.40
Cd  0.1274  0.3726  0.0000  6 Ag 2.79-2.92, 3 Cd 2.96-3.06
Cd  0.3726  0.8726  0.0000  6 Ag 2.79-2.92, 3 Cd 2.96-3.06
Cd  0.6274  0.1274  0.0000  6 Ag 2.79-2.92, 3 Cd 2.96-3.06
Cd  0.8726  0.6274  0.0000  6 Ag 2.79-2.92, 3 Cd 2.96-3.06
Ag  0.1720  0.6720  0.5000  6 Cd 2.79-2.92, 2 Ag 3.06
Ag  0.3280  0.1720  0.5000  6 Cd 2.79-2.92, 2 Ag 3.06
Ag  0.6720  0.8280  0.5000  6 Cd 2.79-2.92, 2 Ag 3.06
Ag  0.8280  0.3280  0.5000  6 Cd 2.79-2.92, 2 Ag 3.06


No. 7
A relaxed KRb2Mo crystal. Source: Alexandria, functional PBE.

## Properties
energy relative to the elements = 1.25 eV/atom
excess energy over the best structure of this formula in the dataset = 0.069 eV per atom
D(E_F) = 2.88 states/eV/f.u.
magnetic moment = 10.3 μB/cell
mass density = 2.0 g/cm3
final energy = -2.214 eV per atom

Cell lengths 8.9282, 8.9282, 8.9282 Å; angles 101.81, 101.81, 126.21 degrees
Closest atoms and distances in Å follow each position.
Positions (direct):
K  0.0000  0.0000  0.0000  2 Mo 4.04, 4 Rb 4.50
K  0.7500  0.2500  0.5000  2 Mo 4.04, 4 Rb 4.50
Rb  0.1735  0.1250  0.5485  2 Mo 3.75, 2 Rb 4.18
Rb  0.3750  0.8265  0.9515  2 Mo 3.75, 2 Rb 4.18
Rb  0.5765  0.6250  0.4515  2 Mo 3.75, 2 Rb 4.18
Rb  0.8750  0.4235  0.0485  2 Mo 3.75, 2 Rb 4.18
Mo  0.2500  0.7500  0.5000  4 Rb 3.75, 2 K 4.04
Mo  0.5000  0.5000  0.0000  4 Rb 3.75, 2 K 4.04


No. 8
A relaxed LaTe2NF crystal. Source: Alexandria, functional PBE.

## Properties
raw formation energy = 1.159 eV per formula unit
excess energy over the best structure of this formula in the dataset = 0.343 eV per atom
D(E_F) = 7.25 states/eV/f.u.
magnetic moment = 0.0 μB/cell
mass density = 4.2 g/cm3
final energy = -4.050 eV per atom

Cell lengths 6.4897, 6.4897, 3.9860 Å; angles 90.00, 90.00, 90.00 degrees
Closest atoms and distances in Å follow each position.
Positions (direct):
La  0.0000  0.0000  0.0000  2 N 1.99
Te  0.0000  0.5000  0.0000  2 La 3.24
Te  0.5000  0.0000  0.0000  2 La 3.24
N  0.0000  0.0000  0.5000  2 La 1.99
F  0.5000  0.5000  0.5000  8 Te 3.81, 2 F 3.99


Q: What is the mass density in the fifth record?
A: 10.1 g/cm3


Q: What is the D(E_F) in the eighth record?
A: 7.25 states/eV/f.u.